BeCuHg2 (PBE, relaxed); DFT total energy = -7.1 eV/cell; calculated formation energy = 1.4 eV per formula unit
1.0
3.303 0.000 0.000
0.000 4.171 0.000
-0.853 0.000 5.263
Be Cu Hg
1 1 2
Direct
0.000 0.000 0.000
0.922 0.500 0.765
0.118 0.500 0.259
0.407 0.000 0.629